[1]
The following is a DFT calculation (SCAN) of a PBEsol-optimized structure of Mg4BeAu.

Properties
Formation enthalpy at 0 K ... 0.32 eV/atom

Structure (extended XYZ):
```
6
Lattice="-0.866 0.322 -5.369 2.549 -3.428 -3.381 -2.813 -3.911 -2.545" Properties=species:S:1:pos:R:3 pbc="T T T"
Be 0.000 0.000 0.000
Mg -0.424 -2.633 -4.238
Mg -1.828 -4.585 -5.508
Mg -0.856 -2.472 -6.918
Mg 0.849 -4.344 -5.925
Au -0.847 -5.263 -8.471
```

=====

[2]
The following is a DFT calculation (SCAN) of a PBEsol-optimized structure of MgBe4Au.

Properties
Formation enthalpy at 0 K ... -0.25 eV/atom

Structure (extended XYZ):
```
6
Lattice="-3.063 -2.780 -1.766 -2.649 -2.434 2.700 -4.378 0.976 0.331" Properties=species:S:1:pos:R:3 pbc="T T T"
Be -4.110 -3.145 0.625
Be -4.772 -1.252 1.682
Be -4.981 -1.426 -0.569
Be -6.317 -2.654 0.792
Mg -2.523 -1.060 0.316
Au 0.000 0.000 0.000
```

=====

[3]
The following is a DFT calculation (SCAN) of a PBEsol-optimized structure of MgBe2Au2.

Properties
Energy above the lowest structure with this stoichiometry ... 9 meV/atom
Formation enthalpy at 0 K ... -0.45 eV/atom

Structure (extended XYZ):
```
5
Lattice="3.381 0.000 0.000 0.000 3.381 0.000 -1.691 -1.691 6.257" Properties=species:S:1:pos:R:3 pbc="T T T"
Be 0.000 1.691 3.128
Be 1.691 0.000 3.128
Mg 0.000 0.000 0.000
Au 0.000 0.000 4.793
Au 1.691 1.691 1.464
```

=====

[4]
The following is a DFT calculation (SCAN) of a PBEsol-optimized structure of Mg2BeAu.

Properties
Formation enthalpy at 0 K ... 0.06 eV/atom

Structure (extended XYZ):
```
4
Lattice="-0.718 0.600 -2.816 1.581 -1.178 -2.218 -5.029 -7.103 -1.795" Properties=species:S:1:pos:R:3 pbc="T T T"
Be 0.000 0.000 0.000
Mg -0.975 -1.833 -1.706
Mg -3.192 -5.848 -5.124
Au -2.083 -3.841 -3.415
```

=====

[5]
The following is a DFT calculation (SCAN) of a PBEsol-optimized structure of MgBeAu.

Properties
Formation enthalpy at 0 K ... -0.38 eV/atom

Structure (extended XYZ):
```
3
Lattice="-0.255 0.795 -3.035 -2.991 -0.979 -0.006 0.270 4.217 2.715" Properties=species:S:1:pos:R:3 pbc="T T T"
Be -1.995 1.043 -1.192
Mg -0.902 2.750 0.796
Au -0.079 0.240 0.069
```

=====

[6]
The following is a DFT calculation (SCAN) of a PBEsol-optimized structure of Mg2BeAu.

Properties
Formation enthalpy at 0 K ... -0.26 eV/atom

Structure (extended XYZ):
```
4
Lattice="3.393 0.000 0.000 0.000 4.337 0.000 0.000 0.000 4.337" Properties=species:S:1:pos:R:3 pbc="T T T"
Be 1.696 0.000 0.000
Mg 0.000 0.000 2.168
Mg 0.000 2.168 0.000
Au 1.696 2.168 2.168
```

=====

[7]
The following is a DFT calculation (SCAN) of a PBEsol-optimized structure of MgBe2Au2.

Properties
Energy above the lowest structure with this stoichiometry ... 0 meV/atom
Formation enthalpy at 0 K ... -0.46 eV/atom

Structure (extended XYZ):
```
10
Lattice="-2.339 0.588 -1.534 -0.885 -6.705 -1.222 -3.849 -0.525 5.669" Properties=species:S:1:pos:R:3 pbc="T T T"
Be -3.727 -3.015 4.527
Be -3.163 -6.230 2.435
Be -1.007 -4.215 -0.080
Be -1.571 -1.000 2.012
Mg 0.000 0.000 0.000
Mg -2.367 -3.615 2.224
Au -3.918 -1.226 2.841
Au -4.946 -4.659 3.092
Au -3.156 -5.416 0.072
Au -2.128 -1.983 -0.179
```

=====

[8]
The following is a DFT calculation (SCAN) of a PBEsol-optimized structure of MgBe2AuO.

Properties
Formation energy (no corrections) ... -0.50 eV per atom

Structure (extended XYZ):
```
5
Lattice="-0.585 -0.502 -3.403 -1.600 -3.017 0.720 -4.975 2.746 0.450" Properties=species:S:1:pos:R:3 pbc="T T T"
Be -0.800 -1.508 0.360
Be -0.292 -0.251 -1.702
Mg -3.580 -0.386 -1.117
Au -2.488 1.373 0.225
O 0.000 0.000 0.000
```

=====

[9]
The following is a DFT calculation (SCAN) of a PBEsol-optimized structure of Mn2BeAu.

Properties
Formation enthalpy at 0 K ... -0.31 eV/atom

Structure (extended XYZ):
```
4
Lattice="3.763 0.000 0.000 0.000 3.768 0.000 -1.882 -1.884 3.457" Properties=species:S:1:pos:R:3 pbc="T T T"
Be 1.882 0.000 1.729
Mn 0.000 0.000 0.001
Mn 0.000 1.884 1.728
Au 0.000 0.000 3.456
```

=====

[10]
The following is a DFT calculation (SCAN) of a PBEsol-optimized structure of MnBeAu.

Properties
Formation enthalpy at 0 K ... -0.05 eV/atom

Structure (extended XYZ):
```
3
Lattice="-0.979 -0.213 -2.587 -1.292 -1.298 2.083 -3.380 4.786 0.886" Properties=species:S:1:pos:R:3 pbc="T T T"
Be -3.416 2.219 1.111
Mn -2.309 1.161 -0.709
Au -3.306 4.681 0.866
```

=====

[11]
The following is a DFT calculation (SCAN) of a PBEsol-optimized structure of Mn2BeAu.

Properties
Formation enthalpy at 0 K ... -0.21 eV/atom

Structure (extended XYZ):
```
4
Lattice="2.709 0.000 0.000 0.000 2.709 0.000 0.000 0.000 6.774" Properties=species:S:1:pos:R:3 pbc="T T T"
Be 1.354 1.354 3.387
Mn 0.000 0.000 4.769
Mn 0.000 0.000 2.005
Au 1.354 1.354 0.000
```

=====

[12]
The following is a DFT calculation (SCAN) of a PBEsol-optimized structure of Mn2BeAu.

Properties
Formation enthalpy at 0 K ... -0.20 eV/atom

Structure (extended XYZ):
```
4
Lattice="3.600 0.000 0.000 0.000 3.616 0.000 -1.800 -1.808 3.863" Properties=species:S:1:pos:R:3 pbc="T T T"
Be 0.000 1.808 0.000
Mn 1.800 1.808 1.929
Mn 0.000 0.000 1.934
Au 1.800 0.000 0.000
```

=====

[13]
The following is a DFT calculation (SCAN) of a PBEsol-optimized structure of BeMo2Au.

Properties
Energy above the lowest structure with this stoichiometry ... 43 meV/atom
Formation enthalpy at 0 K ... 0.09 eV/atom

Structure (extended XYZ):
```
4
Lattice="2.751 0.000 0.000 0.000 4.067 0.000 0.000 0.000 5.086" Properties=species:S:1:pos:R:3 pbc="T T T"
Be 1.376 2.033 2.543
Mo 0.000 0.000 3.703
Mo 0.000 0.000 1.383
Au 1.376 2.033 0.000
```

=====

[14]
The following is a DFT calculation (SCAN) of a PBEsol-optimized structure of BeMoAu2.

Properties
Formation enthalpy at 0 K ... 0.10 eV/atom

Structure (extended XYZ):
```
4
Lattice="2.712 0.000 0.000 0.000 4.309 0.000 -1.356 -2.155 4.996" Properties=species:S:1:pos:R:3 pbc="T T T"
Be 0.000 0.000 4.965
Mo 0.000 2.155 2.021
Au 1.356 2.155 4.990
Au 1.356 0.000 3.011
```

=====

[15]
The following is a DFT calculation (SCAN) of a PBEsol-optimized structure of BeMo2Au.

Properties
Energy above the lowest structure with this stoichiometry ... 0 meV/atom
Formation enthalpy at 0 K ... 0.05 eV/atom

Structure (extended XYZ):
```
4
Lattice="3.139 0.000 0.000 0.000 3.139 0.000 0.000 0.000 5.819" Properties=species:S:1:pos:R:3 pbc="T T T"
Be 1.569 1.569 4.420
Mo 0.000 0.000 5.776
Mo 1.569 1.569 1.260
Au 0.000 0.000 3.093
```

=====

[16]
The following is a DFT calculation (SCAN) of a PBEsol-optimized structure of BeMoAu3.

Properties
Formation enthalpy at 0 K ... 0.54 eV/atom

Structure (extended XYZ):
```
5
Lattice="4.294 0.000 0.000 0.000 4.294 0.000 0.000 0.000 4.294" Properties=species:S:1:pos:R:3 pbc="T T T"
Be 0.000 0.000 0.000
Mo 2.147 2.147 2.147
Au 0.000 2.147 0.000
Au 0.000 0.000 2.147
Au 2.147 0.000 0.000
```

=====

[17]
The following is a DFT calculation (SCAN) of a PBEsol-optimized structure of BeMo2Au.

Properties
Energy above the lowest structure with this stoichiometry ... 310 meV/atom
Formation enthalpy at 0 K ... 0.35 eV/atom

Structure (extended XYZ):
```
4
Lattice="-0.893 2.142 -1.432 -1.109 -0.373 -2.464 -8.728 -0.261 2.458" Properties=species:S:1:pos:R:3 pbc="T T T"
Be -5.365 0.754 -0.719
Mo -2.840 0.361 -0.286
Mo -7.890 1.148 -1.151
Au 0.000 0.000 0.000
```

=====

[18]
The following is a DFT calculation (SCAN) of a PBEsol-optimized structure of BeMo2Au.

Properties
Energy above the lowest structure with this stoichiometry ... 42 meV/atom
Formation enthalpy at 0 K ... 0.09 eV/atom

Structure (extended XYZ):
```
4
Lattice="2.699 0.000 0.000 0.000 2.699 0.000 0.000 0.000 7.541" Properties=species:S:1:pos:R:3 pbc="T T T"
Be 1.349 1.349 3.771
Mo 0.000 0.000 5.355
Mo 0.000 0.000 2.187
Au 1.349 1.349 0.000
```

=====

[19]
The following is a DFT calculation (SCAN) of a PBEsol-optimized structure of BeAuN2.

Properties
Formation energy (no corrections) ... 0.73 eV per atom

Structure (extended XYZ):
```
4
Lattice="3.262 0.000 0.000 1.631 2.825 0.000 1.631 0.942 5.133" Properties=species:S:1:pos:R:3 pbc="T T T"
Be 0.000 0.000 0.000
Au 3.262 1.883 2.566
N 4.893 2.825 1.558
N 1.631 0.942 3.575
```

=====

[20]
The following is a DFT calculation (SCAN) of a PBEsol-optimized structure of BeNbSb2Au.

Properties
Formation energy (no corrections) ... 0.79 eV per atom

Structure (extended XYZ):
```
5
Lattice="-3.833 0.709 -1.253 -1.633 0.057 5.029 0.888 5.208 0.229" Properties=species:S:1:pos:R:3 pbc="T T T"
Sb 0.444 2.604 0.115
Sb -0.817 0.029 2.514
Nb -2.289 2.987 2.003
Au 0.000 0.000 0.000
Be -1.916 0.354 -0.626
```

=====

Result set for V: 114.33; 64.34; 71.54; 66.51; 44.60; 63.80; 135.03; 69.42; 49.02; 39.50; 49.71; 50.29; 56.91; 58.38; 57.33; 79.17; 57.54; 54.92; 47.30; 114.48 Å³/cell, one per record in the order listed.